VASP calculation (PBE) on a relaxed structure of Re2TeIr.

Lattice parameters (Å, degrees): 5.8171 5.8171 7.0533 65.65 65.65 90.00
Closest atoms and distances in Å follow each position.
Sites, in units of the cell vectors:
Re 0.6580 0.1250 0.2500  2 Ir 2.40, 2 Te 2.62
Re 0.0920 0.6250 0.2500  2 Ir 2.40, 2 Te 2.62
Re 0.3750 0.3420 0.7500  2 Ir 2.40, 2 Te 2.62
Re 0.8750 0.9080 0.7500  2 Ir 2.40, 2 Te 2.62
Ir 0.0000 0.0000 0.0000  4 Re 2.40
Ir 0.7500 0.2500 0.5000  4 Re 2.40
Te 0.5000 0.5000 0.0000  4 Re 2.62
Te 0.2500 0.7500 0.5000  4 Re 2.62

**Raw formation energy**: 1070.8 meV/atom
**SG**: I-42d (122)

=====

VASP calculation (PBE) on a relaxed structure of Re2TeIr.

Lattice parameters (Å, degrees): 5.0380 5.0380 4.6634 86.25 86.25 35.26
Closest atoms and distances in Å follow each position.
Sites, in units of the cell vectors:
Ir 0.2500 0.2500 0.2500  6 Re 2.77-2.89, 4 Te 2.79, 2 Ir 3.05
Re 0.9745 0.9745 0.0373  2 Re 2.58, 1 Te 2.62, 2 Ir 2.77
Re 0.5255 0.5255 0.4627  2 Re 2.58, 1 Te 2.62, 2 Ir 2.77
Te 0.7500 0.7500 0.7500  2 Re 2.62, 4 Ir 2.79

**Raw formation energy**: 557.5 meV/atom
**SG**: C2/m (12)

=====

VASP calculation (PBE) on a relaxed structure of Re2TeIr.

Lattice parameters (Å, degrees): 9.1812 9.1812 9.1812 18.33 18.33 18.33
Closest atoms and distances in Å follow each position.
Sites, in units of the cell vectors:
Ir 0.7453 0.7453 0.7453  3 Re 2.74, 6 Ir 2.92, 3 Te 2.92
Re 0.9992 0.9992 0.9992  9 Re 2.69-2.92, 3 Ir 2.74
Re 0.2553 0.2553 0.2553  9 Re 2.69-2.92, 3 Te 2.93
Te 0.5002 0.5002 0.5002  6 Te 2.92, 3 Ir 2.92, 3 Re 2.93

**Raw formation energy**: 507.4 meV/atom
**SG**: R3m (160)

=====

VASP calculation (PBE) on a relaxed structure of ReTe3Ir.

Lattice parameters (Å, degrees): 5.1005 5.1005 5.1005 90.00 90.00 90.00
Closest atoms and distances in Å follow each position.
Sites, in units of the cell vectors:
Re 0.5000 0.5000 0.5000  12 Te 3.61
Ir 0.0000 0.0000 0.0000  6 Te 2.55
Te 0.0000 0.5000 0.0000  2 Ir 2.55
Te 0.0000 0.0000 0.5000  2 Ir 2.55
Te 0.5000 0.0000 0.0000  2 Ir 2.55

**Raw formation energy**: 1581.0 meV/atom
**SG**: Pm-3m (221)
**E above lowest polymorph**: 138 meV/atom

=====

VASP calculation (PBE) on a relaxed structure of ReTeIr2.

Lattice parameters (Å, degrees): 5.4658 5.4658 5.4658 148.76 128.36 61.60
Closest atoms and distances in Å follow each position.
Sites, in units of the cell vectors:
Ir 0.9978 0.9978 0.0000  2 Te 2.75, 2 Re 2.79, 6 Ir 2.80-2.94
Ir 0.5022 0.5022 0.0000  2 Te 2.75, 2 Re 2.79, 6 Ir 2.80-2.94
Re 0.2500 0.7500 0.5000  4 Ir 2.79, 4 Te 2.80, 2 Re 2.94
Te 0.7500 0.2500 0.5000  4 Ir 2.75, 4 Re 2.80, 2 Te 2.94

**Raw formation energy**: 644.4 meV/atom
**SG**: Immm (71)

=====

VASP calculation (PBE) on a relaxed structure of Re2TeIr.

Lattice parameters (Å, degrees): 8.8329 8.8329 8.8329 19.27 19.27 19.27
Closest atoms and distances in Å follow each position.
Sites, in units of the cell vectors:
Ir 0.7500 0.7500 0.7500  6 Re 2.73, 6 Ir 2.96
Re 0.0012 0.0012 0.0012  3 Ir 2.73, 3 Te 2.78, 6 Re 2.96
Re 0.4988 0.4988 0.4988  3 Ir 2.73, 3 Te 2.78, 6 Re 2.96
Te 0.2500 0.2500 0.2500  6 Re 2.78, 6 Te 2.96

**Raw formation energy**: 646.3 meV/atom
**SG**: R-3m (166)

=====

VASP calculation (PBE) on a relaxed structure of ReTeIr2.

Lattice parameters (Å, degrees): 9.0190 9.0190 9.0190 18.80 18.80 18.80
Closest atoms and distances in Å follow each position.
Sites, in units of the cell vectors:
Ir 0.9993 0.9993 0.9993  3 Te 2.79, 9 Ir 2.83-2.95
Ir 0.2474 0.2474 0.2474  3 Re 2.65, 9 Ir 2.83-2.95
Re 0.5041 0.5041 0.5041  3 Ir 2.65, 3 Te 2.90, 6 Re 2.95
Te 0.7492 0.7492 0.7492  3 Ir 2.79, 3 Re 2.90, 6 Te 2.95

**Raw formation energy**: 593.4 meV/atom
**SG**: R3m (160)

=====

VASP calculation (PBE) on a relaxed structure of ReTeIr2.

Lattice parameters (Å, degrees): 2.9403 4.7241 5.7466 54.75 90.00 90.00
Closest atoms and distances in Å follow each position.
Sites, in units of the cell vectors:
Ir 0.0000 0.0000 0.0000  6 Ir 2.78-2.94, 4 Re 2.86, 2 Te 2.87
Ir 0.5000 0.5000 0.0000  6 Ir 2.78-2.94, 4 Te 2.86, 2 Re 2.87
Re 0.5000 0.5000 0.5000  4 Te 2.78, 6 Ir 2.86-2.87, 2 Re 2.94
Te 0.0000 0.0000 0.5000  4 Re 2.78, 6 Ir 2.86-2.87, 2 Te 2.94

**Raw formation energy**: 588.7 meV/atom
**SG**: P2/m (10)

=====

VASP calculation (PBE) on a relaxed structure of Re2TeIr.

Lattice parameters (Å, degrees): 3.0276 3.0276 7.1415 90.00 90.00 90.00
Closest atoms and distances in Å follow each position.
Sites, in units of the cell vectors:
Ir 0.5000 0.5000 0.7500  8 Re 2.77, 4 Ir 3.03
Re 0.0000 0.0000 0.9957  4 Ir 2.77, 4 Te 2.81, 4 Re 3.03
Re 0.0000 0.0000 0.5043  4 Ir 2.77, 4 Te 2.81, 4 Re 3.03
Te 0.5000 0.5000 0.2500  8 Re 2.81, 4 Te 3.03

**Raw formation energy**: 723.1 meV/atom
**SG**: P4/mmm (123)

=====

VASP calculation (PBE) on a relaxed structure of ReTeIr2.

Lattice parameters (Å, degrees): 2.9769 2.9769 7.5552 90.00 90.00 90.00
Closest atoms and distances in Å follow each position.
Sites, in units of the cell vectors:
Ir 0.0000 0.0000 0.0072  4 Te 2.85, 8 Ir 2.87-2.98
Ir 0.5000 0.5000 0.2653  4 Re 2.63, 4 Ir 2.87
Re 0.0000 0.0000 0.4750  4 Ir 2.63
Te 0.5000 0.5000 0.7524  4 Ir 2.85, 4 Re 2.97, 4 Te 2.98

**Raw formation energy**: 543.5 meV/atom
**SG**: P4mm (99)

=====

VASP calculation (PBE) on a relaxed structure of ReTeIr2.

Lattice parameters (Å, degrees): 4.8996 4.8996 2.9032 89.97 89.97 109.92
Closest atoms and distances in Å follow each position.
Sites, in units of the cell vectors:
Ir 0.0000 0.0000 0.0000  4 Ir 2.81-2.90, 4 Re 2.85, 4 Te 2.85
Ir 0.5000 0.5000 0.0000  4 Ir 2.81-2.90, 4 Te 2.85, 4 Re 2.85
Re 0.5000 0.0000 0.5000  2 Te 2.81, 8 Ir 2.85, 2 Re 2.90
Te 0.0000 0.5000 0.5000  2 Re 2.81, 8 Ir 2.85, 2 Te 2.90

**Raw formation energy**: 505.7 meV/atom
**SG**: Cmmm (65)

=====

VASP calculation (PBE) on a relaxed structure of ReTeIr2.

Lattice parameters (Å, degrees): 2.9511 4.7245 4.7235 90.00 90.00 90.00
Closest atoms and distances in Å follow each position.
Sites, in units of the cell vectors:
Ir 0.0000 0.0000 0.0000  4 Re 2.78, 6 Ir 2.79-2.95
Ir 0.5000 0.5000 0.0000  4 Te 2.78, 6 Ir 2.79-2.95
Re 0.5000 0.0000 0.5000  4 Ir 2.78, 4 Te 2.79, 2 Re 2.95
Te 0.0000 0.5000 0.5000  4 Ir 2.78, 4 Re 2.79, 2 Te 2.95

**Raw formation energy**: 671.0 meV/atom
**SG**: Pmmm (47)